[1]
VASP calculation (PBE) on a relaxed structure of AcHoGaCu.

Calculated values
Fermi-level density of states in states/eV per atom: 0.812
E in eV per atom: -4.2322
Size of the total moment in Bohr magnetons per cell: 0.00

abc: 5.2530 5.2530 5.2530
angles: 60.00 60.00 60.00
Closest atoms and distances in Å follow each position.
Atoms (fractional coordinates):
1 Ho 0.0000 0.0000 0.0000  4 Cu 3.22, 4 Ga 3.22
2 Ga 0.7500 0.7500 0.7500  4 Ho 3.22, 4 Ac 3.22
3 Cu 0.2500 0.2500 0.2500  4 Ac 3.22, 4 Ho 3.22
4 Ac 0.5000 0.5000 0.5000  4 Cu 3.22, 4 Ga 3.22

[2]
VASP calculation (PBE) on a relaxed structure of Sm2Dy3Y6Sc.

Calculated values
Fermi-level density of states in states/eV per atom: 1.418
E in eV per atom: -5.6675
Size of the total moment in Bohr magnetons per cell: 0.00

abc: 6.1404 6.1404 11.7683
angles: 94.97 94.97 119.97
Closest atoms and distances in Å follow each position.
Atoms (fractional coordinates):
1 Y 0.4131 0.0827 0.2492  6 Y 3.51-3.56, 1 Sc 3.53, 2 Sm 3.55, 3 Dy 3.55-3.57
2 Y 0.7522 0.7522 0.2496  6 Y 3.52-3.56, 1 Sc 3.53, 3 Dy 3.55-3.56, 2 Sm 3.55
3 Y 0.2478 0.2478 0.7504  6 Y 3.52-3.56, 1 Sc 3.53, 3 Dy 3.55-3.56, 2 Sm 3.55
4 Y 0.9173 0.5869 0.7508  6 Y 3.51-3.56, 1 Sc 3.53, 2 Sm 3.55, 3 Dy 3.55-3.57
5 Y 0.0827 0.4131 0.2492  6 Y 3.51-3.56, 1 Sc 3.53, 2 Sm 3.55, 3 Dy 3.55-3.57
6 Y 0.5869 0.9173 0.7508  6 Y 3.51-3.56, 1 Sc 3.53, 2 Sm 3.55, 3 Dy 3.55-3.57
7 Sm 0.6664 0.3336 0.0000  3 Sm 3.54-3.55, 3 Sc 3.54-3.55, 6 Y 3.55
8 Sm 0.3336 0.6664 0.0000  3 Sm 3.54-3.55, 3 Sc 3.54-3.55, 6 Y 3.55
9 Dy 0.5000 0.5000 0.5000  6 Dy 3.54-3.55, 6 Y 3.55-3.56
10 Dy 0.1664 0.8336 0.5000  6 Dy 3.54-3.55, 6 Y 3.55-3.57
11 Dy 0.8336 0.1664 0.5000  6 Dy 3.54-3.55, 6 Y 3.55-3.57
12 Sc 0.0000 0.0000 0.0000  6 Y 3.53, 6 Sm 3.54-3.55

[3]
VASP calculation (PBE) on a relaxed structure of PrErRh4.

Calculated values
Fermi-level density of states in states/eV per atom: 0.667
E in eV per atom: -7.1409
Size of the total moment in Bohr magnetons per cell: 0.00

abc: 5.3787 5.3787 5.3787
angles: 60.00 60.00 60.00
Closest atoms and distances in Å follow each position.
Atoms (fractional coordinates):
1 Rh 0.6247 0.6247 0.1258  6 Rh 2.68-2.70
2 Rh 0.1258 0.6247 0.6247  6 Rh 2.68-2.70
3 Rh 0.6247 0.6247 0.6247  6 Rh 2.68-2.70
4 Rh 0.6247 0.1258 0.6247  6 Rh 2.68-2.70
5 Pr 0.0000 0.0000 0.0000  12 Rh 3.15, 4 Er 3.29
6 Er 0.2500 0.2500 0.2500  12 Rh 3.15, 4 Pr 3.29

[4]
VASP calculation (PBE) on a relaxed structure of Y2MgBi.

Calculated values
Fermi-level density of states in states/eV per atom: 1.024
E in eV per atom: -4.9865
Size of the total moment in Bohr magnetons per cell: 0.00
ΔE to the lowest computed polymorph in eV/f.u.: 0.21

abc: 4.2592 5.1224 5.1224
angles: 90.00 90.00 90.00
Closest atoms and distances in Å follow each position.
Atoms (fractional coordinates):
1 Bi 0.5000 0.5000 0.5000  8 Y 3.33, 4 Mg 3.62
2 Y 0.0000 0.0000 0.5000  4 Bi 3.33, 4 Mg 3.33, 4 Y 3.62
3 Y 0.0000 0.5000 0.0000  4 Bi 3.33, 4 Mg 3.33, 4 Y 3.62
4 Mg 0.5000 0.0000 0.0000  8 Y 3.33, 4 Bi 3.62

[5]
VASP calculation (PBE) on a relaxed structure of SrAs2Br.

Calculated values
Fermi-level density of states in states/eV per atom: 0.332
E in eV per atom: -3.9360
Size of the total moment in Bohr magnetons per cell: 0.00
ΔE to the lowest computed polymorph in eV/f.u.: 0.54

abc: 5.8137 5.8137 5.8137
angles: 140.46 116.76 77.21
Closest atoms and distances in Å follow each position.
Atoms (fractional coordinates):
1 As 0.9510 0.9510 0.0000  2 As 2.48
2 As 0.7838 0.2838 0.5000  2 As 2.48
3 Sr 0.2524 0.7524 0.5000  2 Br 3.08, 2 As 3.37
4 Br 0.5128 0.5128 0.0000  2 Sr 3.08, 2 As 3.15

[6]
VASP calculation (PBE) on a relaxed structure of Sr2Zn3Pd12Pt.

Calculated values
Fermi-level density of states in states/eV per atom: 0.529
E in eV per atom: -4.3334
Size of the total moment in Bohr magnetons per cell: 0.00

abc: 10.1042 10.1042 10.1042
angles: 38.38 38.38 38.38
Closest atoms and distances in Å follow each position.
Atoms (fractional coordinates):
1 Zn 0.5000 0.0000 0.0000  6 Pd 2.48-2.68
2 Zn 0.0000 0.5000 0.0000  6 Pd 2.48-2.68
3 Zn 0.0000 0.0000 0.5000  6 Pd 2.48-2.68
4 Pd 0.5885 0.5885 0.1879  2 Zn 2.48, 4 Pd 2.65-2.66
5 Pd 0.0714 0.6423 0.0714  1 Pt 2.60, 4 Pd 2.65-2.85, 1 Zn 2.68
6 Pd 0.3577 0.9286 0.9286  1 Pt 2.60, 4 Pd 2.65-2.85, 1 Zn 2.68
7 Pd 0.9286 0.3577 0.9286  1 Pt 2.60, 4 Pd 2.65-2.85, 1 Zn 2.68
8 Pd 0.0714 0.0714 0.6423  1 Pt 2.60, 4 Pd 2.65-2.85, 1 Zn 2.68
9 Pd 0.5885 0.1879 0.5885  2 Zn 2.48, 4 Pd 2.65-2.66
10 Pd 0.4115 0.4115 0.8121  2 Zn 2.48, 4 Pd 2.65-2.66
11 Pd 0.1879 0.5885 0.5885  2 Zn 2.48, 4 Pd 2.65-2.66
12 Pd 0.9286 0.9286 0.3577  1 Pt 2.60, 4 Pd 2.65-2.85, 1 Zn 2.68
13 Pd 0.6423 0.0714 0.0714  1 Pt 2.60, 4 Pd 2.65-2.85, 1 Zn 2.68
14 Pd 0.8121 0.4115 0.4115  2 Zn 2.48, 4 Pd 2.65-2.66
15 Pd 0.4115 0.8121 0.4115  2 Zn 2.48, 4 Pd 2.65-2.66
16 Sr 0.6499 0.6499 0.6499  12 Pd 3.31-3.67
17 Sr 0.3501 0.3501 0.3501  12 Pd 3.31-3.67
18 Pt 0.0000 0.0000 0.0000  6 Pd 2.60

[7]
VASP calculation (PBE) on a relaxed structure of Y3TlO.

Calculated values
Fermi-level density of states in states/eV per atom: 0.892
E in eV per atom: -6.5576
Size of the total moment in Bohr magnetons per cell: 0.00

abc: 25.4974 6.2928 9.9561
angles: 90.00 162.74 90.00
Closest atoms and distances in Å follow each position.
Atoms (fractional coordinates):
1 Y 0.9124 0.6307 0.0901  1 O 2.45
2 Y 0.1454 0.9273 0.2506  2 O 2.40-2.42
3 Y 0.2973 0.9168 0.9456  3 O 2.43-2.71
4 Y 0.5876 0.1307 0.4099  1 O 2.45
5 Y 0.0876 0.3693 0.9099  1 O 2.45
6 Y 0.2027 0.4168 0.5544  3 O 2.43-2.71
7 Y 0.8546 0.0727 0.7494  2 O 2.40-2.42
8 Y 0.7973 0.5832 0.4456  3 O 2.43-2.71
9 Y 0.4124 0.8693 0.5901  1 O 2.45
10 Y 0.6454 0.5727 0.7506  2 O 2.40-2.42
11 Y 0.7027 0.0832 0.0544  3 O 2.43-2.71
12 Y 0.3546 0.4273 0.2494  2 O 2.40-2.42
13 O 0.9795 0.2539 0.8658  5 Y 2.40-2.50
14 O 0.5205 0.7539 0.6342  5 Y 2.40-2.50
15 O 0.0205 0.7461 0.1342  5 Y 2.40-2.50
16 O 0.4795 0.2461 0.3658  5 Y 2.40-2.50
17 Tl 0.9912 0.8340 0.5896  1 Tl 3.05, 6 Y 3.09-3.36
18 Tl 0.0088 0.1660 0.4104  1 Tl 3.05, 6 Y 3.09-3.36
19 Tl 0.4912 0.6660 0.0896  1 Tl 3.05, 6 Y 3.09-3.36
20 Tl 0.5088 0.3340 0.9104  1 Tl 3.05, 6 Y 3.09-3.36

[8]
VASP calculation (PBE) on a relaxed structure of ScHgI2F.

Calculated values
Fermi-level density of states in states/eV per atom: 0.120
E in eV per atom: -3.8261
Size of the total moment in Bohr magnetons per cell: 0.00

abc: 5.9031 5.9031 4.1437
angles: 90.00 90.00 90.00
Closest atoms and distances in Å follow each position.
Atoms (fractional coordinates):
1 I 0.0000 0.5000 0.0000  2 Sc 2.95
2 I 0.5000 0.0000 0.0000  2 Sc 2.95
3 Sc 0.0000 0.0000 0.0000  2 F 2.07
4 F 0.0000 0.0000 0.5000  2 Sc 2.07
5 Hg 0.5000 0.5000 0.5000  8 I 3.61

[9]
VASP calculation (PBE) on a relaxed structure of LaScZn.

Calculated values
Fermi-level density of states in states/eV per atom: 1.153
E in eV per atom: -4.3372
Size of the total moment in Bohr magnetons per cell: 0.00
ΔE to the lowest computed polymorph in eV/f.u.: 0.13

abc: 7.0894 3.5393 11.8504
angles: 90.00 90.00 90.00
Closest atoms and distances in Å follow each position.
Atoms (fractional coordinates):
1 Sc 0.8999 0.2500 0.3829  4 Zn 2.92-3.02
2 Sc 0.1001 0.7500 0.6171  4 Zn 2.92-3.02
3 Sc 0.6001 0.7500 0.8829  4 Zn 2.92-3.02
4 Sc 0.3999 0.2500 0.1171  4 Zn 2.92-3.02
5 Zn 0.1358 0.7500 0.2322  4 Sc 2.92-3.02, 4 La 3.14-3.20
6 Zn 0.8642 0.2500 0.7678  4 Sc 2.92-3.02, 4 La 3.14-3.20
7 Zn 0.6358 0.7500 0.2678  4 Sc 2.92-3.02, 4 La 3.14-3.20
8 Zn 0.3642 0.2500 0.7322  4 Sc 2.92-3.02, 4 La 3.14-3.20
9 La 0.6387 0.7500 0.5875  4 Zn 3.14-3.20, 2 Sc 3.29-3.51, 2 La 3.36
10 La 0.8613 0.2500 0.0875  4 Zn 3.14-3.20, 2 Sc 3.29-3.51, 2 La 3.36
11 La 0.1387 0.7500 0.9125  4 Zn 3.14-3.20, 2 Sc 3.29-3.51, 2 La 3.36
12 La 0.3613 0.2500 0.4125  4 Zn 3.14-3.20, 2 Sc 3.29-3.51, 2 La 3.36

[10]
VASP calculation (PBE) on a relaxed structure of CsMnTcS2.

Calculated values
Fermi-level density of states in states/eV per atom: 1.011
E in eV per atom: -4.6807
Size of the total moment in Bohr magnetons per cell: 7.69

abc: 4.5453 5.4337 4.5453
angles: 90.00 90.00 90.00
Closest atoms and distances in Å follow each position.
Atoms (fractional coordinates):
1 S 0.5000 0.0000 0.0000  2 Mn 2.27
2 S 0.0000 0.0000 0.5000  2 Mn 2.27
3 Tc 0.5000 0.5000 0.5000  4 Cs 3.21, 8 S 3.54
4 Mn 0.0000 0.0000 0.0000  4 S 2.27
5 Cs 0.0000 0.5000 0.0000  2 Mn 2.72

[11]
VASP calculation (PBE) on a relaxed structure of GaBr3O.

Calculated values
Fermi-level density of states in states/eV per atom: 0.594
E in eV per atom: -2.3216
Size of the total moment in Bohr magnetons per cell: 2.21
ΔE to the lowest computed polymorph in eV/f.u.: 0.28

abc: 5.1663 5.1663 5.1663
angles: 90.00 90.00 90.00
Closest atoms and distances in Å follow each position.
Atoms (fractional coordinates):
1 O 0.5000 0.5000 0.5000  12 Br 3.65
2 Br 0.0000 0.5000 0.0000  2 Ga 2.58
3 Br 0.0000 0.0000 0.5000  2 Ga 2.58
4 Br 0.5000 0.0000 0.0000  2 Ga 2.58
5 Ga 0.0000 0.0000 0.0000  6 Br 2.58

[12]
VASP calculation (PBE) on a relaxed structure of BiBPd3.

Calculated values
Fermi-level density of states in states/eV per atom: 0.433
E in eV per atom: -5.4258
Size of the total moment in Bohr magnetons per cell: 0.00
ΔE to the lowest computed polymorph in eV/f.u.: 0.00

abc: 4.3387 4.3387 4.3387
angles: 90.00 90.00 90.00
Closest atoms and distances in Å follow each position.
Atoms (fractional coordinates):
1 Pd 0.0000 0.0000 0.5000  2 B 2.17
2 Pd 0.0000 0.5000 0.0000  2 B 2.17
3 Pd 0.5000 0.0000 0.0000  2 B 2.17
4 B 0.0000 0.0000 0.0000  6 Pd 2.17
5 Bi 0.5000 0.5000 0.5000  12 Pd 3.07

Please write out number 7 again, unchanged.
VASP calculation (PBE) on a relaxed structure of Y3TlO.

Calculated values
Fermi-level density of states in states/eV per atom: 0.892
E in eV per atom: -6.5576
Size of the total moment in Bohr magnetons per cell: 0.00

abc: 25.4974 6.2928 9.9561
angles: 90.00 162.74 90.00
Closest atoms and distances in Å follow each position.
Atoms (fractional coordinates):
1 Y 0.9124 0.6307 0.0901  1 O 2.45
2 Y 0.1454 0.9273 0.2506  2 O 2.40-2.42
3 Y 0.2973 0.9168 0.9456  3 O 2.43-2.71
4 Y 0.5876 0.1307 0.4099  1 O 2.45
5 Y 0.0876 0.3693 0.9099  1 O 2.45
6 Y 0.2027 0.4168 0.5544  3 O 2.43-2.71
7 Y 0.8546 0.0727 0.7494  2 O 2.40-2.42
8 Y 0.7973 0.5832 0.4456  3 O 2.43-2.71
9 Y 0.4124 0.8693 0.5901  1 O 2.45
10 Y 0.6454 0.5727 0.7506  2 O 2.40-2.42
11 Y 0.7027 0.0832 0.0544  3 O 2.43-2.71
12 Y 0.3546 0.4273 0.2494  2 O 2.40-2.42
13 O 0.9795 0.2539 0.8658  5 Y 2.40-2.50
14 O 0.5205 0.7539 0.6342  5 Y 2.40-2.50
15 O 0.0205 0.7461 0.1342  5 Y 2.40-2.50
16 O 0.4795 0.2461 0.3658  5 Y 2.40-2.50
17 Tl 0.9912 0.8340 0.5896  1 Tl 3.05, 6 Y 3.09-3.36
18 Tl 0.0088 0.1660 0.4104  1 Tl 3.05, 6 Y 3.09-3.36
19 Tl 0.4912 0.6660 0.0896  1 Tl 3.05, 6 Y 3.09-3.36
20 Tl 0.5088 0.3340 0.9104  1 Tl 3.05, 6 Y 3.09-3.36